Computed, not measured: Tb3Pr4Ho after structural relaxation at the PBE-GGA level of DFT.

Cell and atoms, written as POSCAR:
```
Tb3Pr4Ho
1.0
11.723 0.000 0.000
0.000 7.364 0.000
0.000 0.000 6.343
Tb Pr Ho
6 8 2
direct
0.000 0.121 0.000
0.250 0.121 0.332
0.250 0.879 0.832
0.500 0.879 0.500
0.750 0.121 0.332
0.750 0.879 0.832
0.000 0.372 0.499
0.000 0.628 0.996
0.249 0.629 0.335
0.251 0.371 0.835
0.500 0.372 0.496
0.500 0.628 0.999
0.749 0.371 0.835
0.751 0.629 0.335
0.000 0.880 0.499
0.500 0.120 0.999
```

## Properties
- density of states at the Fermi level (states/eV/f.u.) = 14.377
- relative energy among the computed polymorphs (meV/atom) = 0
- ΔH_f (0 K) (eV per atom) = 0.031

***

Computed, not measured: Ho2TlSi after structural relaxation at the PBE-GGA level of DFT.

Cell and atoms, written as POSCAR:
```
Ho2TlSi
1.0
1.952 1.127 8.222
-1.952 1.127 8.222
0.000 -2.254 8.222
Ho Tl Si
2 1 1
direct
0.236 0.236 0.236
0.764 0.764 0.764
0.000 0.000 0.000
0.500 0.500 0.500
```

## Properties
- density of states at the Fermi level (states/eV/f.u.) = 3.722
- formation energy without anion corrections (eV/atom) = -0.393

***

Computed, not measured: KAg2AsCl8 after structural relaxation at the PBE-GGA level of DFT.

Cell and atoms, written as POSCAR:
```
KAg2AsCl8
1.0
6.238 0.000 0.000
-2.327 7.855 0.000
-1.906 -2.227 7.673
K Ag As Cl
1 2 1 8
direct
0.000 0.000 0.000
0.333 0.779 0.351
0.667 0.221 0.649
0.500 0.500 0.000
0.095 0.361 0.833
0.265 0.061 0.413
0.392 0.492 0.271
0.468 0.789 0.013
0.532 0.211 0.987
0.608 0.508 0.729
0.735 0.939 0.587
0.905 0.639 0.167
```

## Properties
- density of states at the Fermi level (states/eV/f.u.) = 2.376
- formation energy without anion corrections (eV/atom) = -0.699

***

Computed, not measured: ZrTi3In2 after structural relaxation at the PBE-GGA level of DFT.

Cell and atoms, written as POSCAR:
```
ZrTi3In2
1.0
-1.496 2.535 8.198
1.496 -2.535 8.198
1.496 2.535 -8.198
Zr Ti In
1 3 2
direct
0.000 0.000 0.000
0.179 0.179 0.000
0.500 0.000 0.500
0.821 0.821 0.000
0.349 0.349 0.000
0.651 0.651 0.000
```

## Properties
- density of states at the Fermi level (states/eV/f.u.) = 9.697
- ΔH_f (0 K) (eV per atom) = 0.349

***

Computed, not measured: Sc3CdC after structural relaxation at the PBE-GGA level of DFT.

Cell and atoms, written as POSCAR:
```
Sc3CdC
1.0
5.552 0.000 0.000
1.389 5.734 0.000
0.169 1.933 6.176
Sc Cd C
6 2 2
direct
0.000 0.000 0.000
0.013 0.015 0.518
0.301 0.439 0.894
0.349 0.413 0.409
0.532 0.939 0.788
0.826 0.517 0.624
0.498 0.934 0.280
0.811 0.497 0.143
0.171 0.228 0.704
0.951 0.747 0.818
```

## Properties
- density of states at the Fermi level (states/eV/f.u.) = 1.297
- relative energy among the computed polymorphs (meV/atom) = 145
- ΔH_f (0 K) (eV per atom) = -0.318

***

Computed, not measured: Tl12S3Br5 after structural relaxation at the PBE-GGA level of DFT.

Cell and atoms, written as POSCAR:
```
Tl12S3Br5
1.0
-9.556 9.556 9.556
9.556 -9.556 9.556
9.556 9.556 -9.556
Tl S Br
48 12 20
direct
0.046 0.718 0.657
0.046 0.827 0.389
0.062 0.218 0.173
0.062 0.343 0.889
0.111 0.673 0.454
0.111 0.938 0.657
0.157 0.218 0.546
0.157 0.438 0.611
0.173 0.062 0.218
0.173 0.611 0.954
0.218 0.173 0.062
0.218 0.546 0.157
0.282 0.343 0.954
0.282 0.438 0.327
0.327 0.282 0.438
0.327 0.546 0.889
0.343 0.889 0.062
0.343 0.954 0.282
0.389 0.046 0.827
0.389 0.843 0.562
0.438 0.327 0.282
0.438 0.611 0.157
0.454 0.111 0.673
0.454 0.843 0.782
0.546 0.157 0.218
0.546 0.889 0.327
0.562 0.389 0.843
0.562 0.673 0.718
0.611 0.157 0.438
0.611 0.954 0.173
0.657 0.046 0.718
0.657 0.111 0.938
0.673 0.454 0.111
0.673 0.718 0.562
0.718 0.562 0.673
0.718 0.657 0.046
0.782 0.454 0.843
0.782 0.827 0.938
0.827 0.389 0.046
0.827 0.938 0.782
0.843 0.562 0.389
0.843 0.782 0.454
0.889 0.062 0.343
0.889 0.327 0.546
0.938 0.657 0.111
0.938 0.782 0.827
0.954 0.173 0.611
0.954 0.282 0.343
0.125 0.250 0.375
0.125 0.375 0.750
0.250 0.375 0.125
0.250 0.875 0.625
0.375 0.125 0.250
0.375 0.750 0.125
0.625 0.250 0.875
0.625 0.875 0.750
0.750 0.125 0.375
0.750 0.625 0.875
0.875 0.625 0.250
0.875 0.750 0.625
0.000 0.000 0.000
0.000 0.000 0.500
0.000 0.500 0.000
0.000 0.500 0.500
0.125 0.750 0.875
0.125 0.875 0.250
0.250 0.125 0.875
0.250 0.625 0.375
0.375 0.250 0.625
0.375 0.625 0.750
0.500 0.000 0.000
0.500 0.000 0.500
0.500 0.500 0.000
0.500 0.500 0.500
0.625 0.375 0.250
0.625 0.750 0.375
0.750 0.375 0.625
0.750 0.875 0.125
0.875 0.125 0.750
0.875 0.250 0.125
```

## Properties
- density of states at the Fermi level (states/eV/f.u.) = 1.849
- formation energy without anion corrections (eV/atom) = -0.419

***

Computed, not measured: ZnSb2Os after structural relaxation at the PBE-GGA level of DFT.

Cell and atoms, written as POSCAR:
```
ZnSb2Os
1.0
1.828 1.055 7.535
-1.828 1.055 7.535
0.000 -2.111 7.535
Zn Sb Os
1 2 1
direct
0.000 0.000 0.000
0.241 0.241 0.241
0.759 0.759 0.759
0.500 0.500 0.500
```

## Properties
- density of states at the Fermi level (states/eV/f.u.) = 2.773
- formation energy without anion corrections (eV/atom) = 0.345

***

- density of states at the Fermi level of number 6 (Tl12S3Br5)?
  1.849 states/eV/f.u.